No. 1
Below is crystalline Tb2ScTlO at its relaxed geometry, with properties calculated at the GGA-PBE level.

Geometry as POSCAR:
```
Tb2ScTlO
1.0
-4.193 -1.481 -0.468
0.121 -1.766 4.500
-1.676 4.207 1.696
Tb Sc Tl O
2 1 1 1
Direct
0.000 0.000 0.500
0.000 0.500 0.000
0.500 0.000 0.000
0.500 0.500 0.500
0.000 0.000 0.000
```

SG: P4/mmm
Formation energy without anion corrections (eV per atom): -1.3635
ρ (g cm⁻³): 9.3
M_tot (μB/atom): 0.00

=====

No. 2
Below is crystalline TbSc2TlO at its relaxed geometry, with properties calculated at the GGA-PBE level.

Geometry as POSCAR:
```
TbSc2TlO
1.0
-0.769 -4.665 -0.527
2.679 -0.030 -3.639
3.565 -0.885 2.631
Tb Sc Tl O
1 2 1 1
Direct
0.500 0.000 0.000
0.000 0.000 0.500
0.000 0.500 0.000
0.500 0.500 0.500
0.000 0.000 0.000
```

SG: P4/mmm
Formation energy without anion corrections (eV per atom): -1.3656
ρ (g cm⁻³): 8.0
M_tot (μB/atom): 0.00

=====

No. 3
Below is crystalline Tb2TmScO6 at its relaxed geometry, with properties calculated at the GGA-PBE level.

Geometry as POSCAR:
```
Tb2TmScO6
1.0
5.699 0.000 0.000
2.849 4.935 0.000
2.849 1.645 4.941
Tb Tm Sc O
2 1 1 6
Direct
0.529 0.529 0.412
0.028 0.028 0.916
0.809 0.809 0.572
0.312 0.312 0.063
0.601 0.197 0.255
0.197 0.947 0.255
0.947 0.601 0.255
0.432 0.690 0.762
0.690 0.116 0.762
0.116 0.432 0.762
```

SG: R3
Formation energy without anion corrections (eV per atom): -3.5381
ρ (g cm⁻³): 7.5
M_tot (μB/atom): 0.00